# AcMnB2O6

AcMnB2O6 after structural relaxation (PBE with a Hubbard U, Alexandria via LeMat-Bulk).

Volume (Å³/cell): 263.2
Calculated total energy (eV/atom): -7.9337

Geometry as CIF:
```
data_AcMnB2O6
_cell_length_a 6.779
_cell_length_b 6.779
_cell_length_c 6.217
_cell_angle_alpha 103.73
_cell_angle_beta 103.73
_cell_angle_gamma 98.55
_space_group_name_H-M_alt 'P 1'
_space_group_IT_number 1
_space_group_name_Hall 'P 1'
loop_
_atom_site_label
_atom_site_type_symbol
_atom_site_fract_x
_atom_site_fract_y
_atom_site_fract_z
_atom_site_occupancy
Ac1 Ac 0.132 0.868 0.750 1
Ac2 Ac 0.868 0.132 0.250 1
Mn1 Mn 0.350 0.650 0.250 1
Mn2 Mn 0.650 0.350 0.750 1
B1 B 0.089 0.407 0.783 1
B2 B 0.407 0.089 0.283 1
B3 B 0.593 0.911 0.717 1
B4 B 0.911 0.593 0.217 1
O1 O 0.074 0.205 0.669 1
O2 O 0.084 0.500 0.263 1
O3 O 0.205 0.074 0.169 1
O4 O 0.274 0.543 0.922 1
O5 O 0.457 0.726 0.578 1
O6 O 0.500 0.084 0.763 1
O7 O 0.500 0.916 0.237 1
O8 O 0.543 0.274 0.422 1
O9 O 0.726 0.457 0.078 1
O10 O 0.795 0.926 0.831 1
O11 O 0.916 0.500 0.737 1
O12 O 0.926 0.795 0.331 1
```